Entry 1:
## CaAl4Ag4 (GGA-PBE)

Data for CaAl4Ag4 after structural relaxation.

Energy ... -3.2878 eV per atom
SG ... No. 87
Volume ... 189.3 Å³/cell
ΔH_f (0 K) ... -0.13 eV per atom

```
data_CaAl4Ag4
_symmetry_space_group_name_H-M 'P 1'
_symmetry_Int_Tables_number 1
_cell_length_a 6.712
_cell_length_b 6.712
_cell_length_c 6.712
_cell_angle_alpha 97.42
_cell_angle_beta 97.42
_cell_angle_gamma 137.87
loop_
_symmetry_equiv_pos_as_xyz
'x,y,z'
loop_
_atom_site_label
_atom_site_type_symbol
_atom_site_fract_x
_atom_site_fract_y
_atom_site_fract_z
Ca1 Ca 0.000 0.000 0.000
Al1 Al 0.101 0.611 0.712
Al2 Al 0.389 0.101 0.489
Al3 Al 0.611 0.899 0.511
Al4 Al 0.899 0.389 0.288
Ag1 Ag 0.205 0.327 0.532
Ag2 Ag 0.327 0.795 0.122
Ag3 Ag 0.673 0.205 0.878
Ag4 Ag 0.795 0.673 0.468
```



Entry 2:
## SrBMo2Se (GGA-PBE)

Data for SrBMo2Se after structural relaxation.

Formation energy without anion corrections ... 0.55 eV/atom
Energy ... -6.1525 eV per atom
SG ... No. 123
Volume ... 97.6 Å³/cell

```
data_SrBMo2Se
_symmetry_space_group_name_H-M 'P 1'
_symmetry_Int_Tables_number 1
_cell_length_a 4.248
_cell_length_b 4.248
_cell_length_c 5.408
_cell_angle_alpha 90.00
_cell_angle_beta 90.00
_cell_angle_gamma 90.00
loop_
_symmetry_equiv_pos_as_xyz
'x,y,z'
loop_
_atom_site_label
_atom_site_type_symbol
_atom_site_fract_x
_atom_site_fract_y
_atom_site_fract_z
Sr1 Sr 0.000 0.000 0.000
B1 B 0.500 0.500 0.500
Mo1 Mo 0.000 0.500 0.500
Mo2 Mo 0.500 0.000 0.500
Se1 Se 0.500 0.500 0.000
```



Entry 3:
## Pm6C3BrF2 (GGA-PBE)

Data for Pm6C3BrF2 after structural relaxation.

Formation energy without anion corrections ... -1.24 eV/atom
Energy ... -6.3740 eV per atom
SG ... No. 12
Volume ... 242.7 Å³/cell

```
data_Pm6C3BrF2
_symmetry_space_group_name_H-M 'P 1'
_symmetry_Int_Tables_number 1
_cell_length_a 8.869
_cell_length_b 8.869
_cell_length_c 7.920
_cell_angle_alpha 108.27
_cell_angle_beta 108.27
_cell_angle_gamma 24.28
loop_
_symmetry_equiv_pos_as_xyz
'x,y,z'
loop_
_atom_site_label
_atom_site_type_symbol
_atom_site_fract_x
_atom_site_fract_y
_atom_site_fract_z
Pm1 Pm 0.013 0.013 0.218
Pm2 Pm 0.319 0.319 0.436
Pm3 Pm 0.340 0.340 0.896
Pm4 Pm 0.660 0.660 0.104
Pm5 Pm 0.681 0.681 0.564
Pm6 Pm 0.987 0.987 0.782
C1 C 0.167 0.167 0.328
C2 C 0.500 0.500 0.000
C3 C 0.833 0.833 0.672
Br1 Br 0.500 0.500 0.500
F1 F 0.184 0.184 0.848
F2 F 0.816 0.816 0.152
```



Entry 4:
## Tb3PmCu4 (GGA-PBE)

Data for Tb3PmCu4 after structural relaxation.

Energy ... -4.5956 eV per atom
SG ... No. 123
Volume ... 172.1 Å³/cell
ΔH_f (0 K) ... -0.22 eV per atom

```
data_Tb3PmCu4
_symmetry_space_group_name_H-M 'P 1'
_symmetry_Int_Tables_number 1
_cell_length_a 4.962
_cell_length_b 4.962
_cell_length_c 6.990
_cell_angle_alpha 90.00
_cell_angle_beta 90.00
_cell_angle_gamma 90.00
loop_
_symmetry_equiv_pos_as_xyz
'x,y,z'
loop_
_atom_site_label
_atom_site_type_symbol
_atom_site_fract_x
_atom_site_fract_y
_atom_site_fract_z
Tb1 Tb 0.000 0.000 0.000
Tb2 Tb 0.000 0.000 0.500
Tb3 Tb 0.500 0.500 0.000
Pm1 Pm 0.500 0.500 0.500
Cu1 Cu 0.000 0.500 0.243
Cu2 Cu 0.000 0.500 0.757
Cu3 Cu 0.500 0.000 0.243
Cu4 Cu 0.500 0.000 0.757
```



Entry 5:
## KTlCr (GGA-PBE)

Data for KTlCr after structural relaxation.

Energy ... -3.7169 eV per atom
Distance to the lowest polymorph of the same formula ... 9.9 kJ per mole of atoms
SG ... No. 156
Volume ... 88.5 Å³/cell
ΔH_f (0 K) ... 0.65 eV per atom

```
data_KTlCr
_symmetry_space_group_name_H-M 'P 1'
_symmetry_Int_Tables_number 1
_cell_length_a 5.477
_cell_length_b 5.477
_cell_length_c 3.406
_cell_angle_alpha 90.00
_cell_angle_beta 90.00
_cell_angle_gamma 120.00
loop_
_symmetry_equiv_pos_as_xyz
'x,y,z'
loop_
_atom_site_label
_atom_site_type_symbol
_atom_site_fract_x
_atom_site_fract_y
_atom_site_fract_z
K1 K 0.000 0.000 0.000
Tl1 Tl 0.667 0.333 0.501
Cr1 Cr 0.333 0.667 0.502
```



Entry 6:
## Ta2Co (GGA-PBE)

Data for Ta2Co after structural relaxation.

Energy ... -9.7705 eV per atom
SG ... No. 58
Volume ... 104.7 Å³/cell
ΔH_f (0 K) ... 0.50 eV per atom

```
data_Ta2Co
_symmetry_space_group_name_H-M 'P 1'
_symmetry_Int_Tables_number 1
_cell_length_a 5.619
_cell_length_b 6.032
_cell_length_c 3.090
_cell_angle_alpha 90.00
_cell_angle_beta 90.00
_cell_angle_gamma 90.00
loop_
_symmetry_equiv_pos_as_xyz
'x,y,z'
loop_
_atom_site_label
_atom_site_type_symbol
_atom_site_fract_x
_atom_site_fract_y
_atom_site_fract_z
Ta1 Ta 0.209 0.149 0.000
Ta2 Ta 0.291 0.649 0.500
Ta3 Ta 0.709 0.351 0.500
Ta4 Ta 0.791 0.851 0.000
Co1 Co 0.000 0.500 0.000
Co2 Co 0.500 0.000 0.500
```